A plane-wave DFT calculation with PBE was carried out for Ba2InSn3Ir4 after structural relaxation.

a b c (Å): 4.611 4.611 11.187
angles (deg): 90.00 90.00 90.00
Fractional positions:
Ba: 0.000 0.500 0.246
Ba: 0.500 0.000 0.754
In: 0.000 0.000 0.500
Sn: 0.000 0.500 0.876
Sn: 0.500 0.000 0.124
Sn: 0.500 0.500 0.500
Ir: 0.000 0.000 0.000
Ir: 0.000 0.500 0.632
Ir: 0.500 0.000 0.368
Ir: 0.500 0.500 0.000

Computed properties:
Volume, A^3/atom: 23.78
Energy of formation from the pure elements, eV/atom: -0.381